No. 1
Material: CsB2F8
Method: DFT, GGA-PBE
State: optimized geometry

Results
- SG: No. 12
- D(E_F): 0.126 states/eV per atom
- Calculated total energy: -5.30 eV/atom

Structure (extended XYZ):
```
11
Lattice="4.459 -3.474 0.000 4.459 3.474 0.000 -3.924 0.000 6.246" Properties=species:S:1:pos:R:3 pbc="T T T"
Cs 0.000 0.000 0.000
B -0.522 0.000 4.469
B 5.515 0.000 1.777
F -1.213 1.154 4.803
F -0.052 0.000 3.144
F -1.213 -1.154 4.803
F 0.786 0.000 5.201
F 4.207 0.000 1.045
F 6.206 1.154 1.443
F 5.045 0.000 3.102
F 6.206 -1.154 1.443
```

No. 2
Material: Rb2Si7Au12
Method: DFT, GGA-PBE
State: optimized geometry

Results
- SG: No. 147
- D(E_F): 0.342 states/eV per atom
- Calculated total energy: -3.81 eV/atom

Structure (extended XYZ):
```
21
Lattice="10.165 0.000 0.000 -5.083 8.804 0.000 0.000 0.000 4.602" Properties=species:S:1:pos:R:3 pbc="T T T"
Rb 0.000 5.869 1.101
Rb 5.083 2.935 3.502
Si 0.000 0.000 2.301
Si -0.951 3.459 3.306
Si -1.612 7.897 3.306
Si 2.520 2.553 1.297
Si 2.563 6.251 3.306
Si 6.695 0.906 1.297
Si 6.033 5.345 1.297
Au -2.513 5.432 3.458
Au -3.200 7.620 0.945
Au 0.084 2.223 0.945
Au 1.967 1.039 3.658
Au 1.635 3.911 3.458
Au 4.205 0.540 1.144
Au 0.878 8.264 3.458
Au 3.448 4.892 1.144
Au 3.116 7.765 0.945
Au 4.999 6.581 3.658
Au 8.282 1.184 3.658
Au 7.596 3.372 1.144
```

No. 3
Material: PmAg5
Method: DFT, GGA-PBE
State: optimized geometry

Results
- Energy relative to the elements: -0.15 eV per atom
- SG: No. 216
- D(E_F): 0.916 states/eV per atom

Structure (extended XYZ):
```
6
Lattice="0.000 3.945 3.945 3.945 0.000 3.945 3.945 3.945 0.000" Properties=species:S:1:pos:R:3 pbc="T T T"
Pm 0.000 0.000 0.000
Ag 2.964 2.964 2.964
Ag 4.927 4.927 2.964
Ag 4.927 2.964 4.927
Ag 5.918 5.918 5.918
Ag 2.964 4.927 4.927
```

No. 4
Material: Tb4Tm9Zn11
Method: DFT, GGA-PBE
State: optimized geometry

Results
- Energy relative to the elements: -0.24 eV per atom
- SG: No. 65
- D(E_F): 0.990 states/eV per atom

Structure (extended XYZ):
```
24
Lattice="7.642 -10.494 0.000 7.642 10.494 0.000 0.000 0.000 3.414" Properties=species:S:1:pos:R:3 pbc="T T T"
Tb 2.578 1.811 0.000
Tb 2.578 -1.811 0.000
Tb 12.706 1.811 0.000
Tb 12.706 -1.811 0.000
Tm 0.000 0.000 0.000
Tm 5.894 5.523 0.000
Tm 5.924 1.942 0.000
Tm 9.390 5.523 0.000
Tm 5.924 -1.942 0.000
Tm 9.359 1.942 0.000
Tm 5.894 -5.523 0.000
Tm 9.359 -1.942 0.000
Tm 9.390 -5.523 0.000
Zn 4.073 3.831 1.707
Zn 7.642 7.731 1.707
Zn 4.421 0.000 1.707
Zn 7.642 3.722 1.707
Zn 4.073 -3.831 1.707
Zn 7.642 0.000 1.707
Zn 11.211 3.831 1.707
Zn 7.642 -3.722 1.707
Zn 10.863 0.000 1.707
Zn 7.642 -7.731 1.707
Zn 11.211 -3.831 1.707
```

No. 5
Material: InSNO2
Method: DFT, GGA-PBE
State: optimized geometry

Results
- SG: No. 123
- D(E_F): 1.118 states/eV per atom
- Calculated total energy: -3.90 eV/atom

Structure (extended XYZ):
```
5
Lattice="4.103 0.000 0.000 0.000 4.103 0.000 0.000 0.000 4.321" Properties=species:S:1:pos:R:3 pbc="T T T"
In 0.000 0.000 0.000
S 2.052 2.052 2.161
N 0.000 0.000 2.161
O 0.000 2.052 0.000
O 2.052 0.000 0.000
```

No. 6
Material: TaAlCr2
Method: DFT, GGA-PBE
State: optimized geometry

Results
- Energy relative to the elements: 0.08 eV per atom
- SG: No. 65
- D(E_F): 0.844 states/eV per atom

Structure (extended XYZ):
```
4
Lattice="1.586 -2.166 0.000 1.586 2.166 0.000 0.000 0.000 8.276" Properties=species:S:1:pos:R:3 pbc="T T T"
Ta 0.000 0.000 0.000
Al 0.000 0.000 4.138
Cr 1.586 0.000 2.143
Cr 1.586 0.000 6.132
```